Version i
# Ta2FeAg, relaxed, DFT PBE-GGA
data_Ta2FeAg
_chemical_formula_sum 'Ta2 Fe1 Ag1'
_space_group_name_H-M_alt 'P 4/m m m'
_space_group_IT_number 123
_space_group_name_Hall '-P 4 2'
_cell_length_a 2.8348
_cell_length_b 2.8348
_cell_length_c 8.0117
_cell_angle_alpha 90.00
_cell_angle_beta 90.00
_cell_angle_gamma 90.00
loop_
_atom_site_label
_atom_site_type_symbol
_atom_site_fract_x
_atom_site_fract_y
_atom_site_fract_z
Ta1 Ta 0.0000 0.0000 0.2109
Fe1 Fe 0.5000 0.5000 0.0000
Ag1 Ag 0.5000 0.5000 0.5000
# Density in Mg/m³: 13.56



Version ii
# Ta2FeAg, relaxed, DFT PBE-GGA
data_Ta2FeAg
_chemical_formula_sum 'Ta4 Fe2 Ag2'
_space_group_name_H-M_alt 'C 1 2/m 1'
_space_group_IT_number 12
_cell_length_a 5.6536
_cell_length_b 8.2441
_cell_length_c 2.7845
_cell_angle_alpha 90.00
_cell_angle_beta 90.34
_cell_angle_gamma 90.00
loop_
_space_group_symop_operation_xyz
'x,y,z'
'-x,-y,-z'
'-x,y,-z'
'x,-y,z'
'x+1/2,y+1/2,z'
'-x+1/2,-y+1/2,-z'
'-x+1/2,y+1/2,-z'
'x+1/2,-y+1/2,z'
loop_
_atom_site_label
_atom_site_type_symbol
_atom_site_fract_x
_atom_site_fract_y
_atom_site_fract_z
Ta1 Ta 0.2500 0.2500 0.0000
Fe1 Fe 0.0000 0.0000 0.5000
Ag1 Ag 0.0000 0.5000 0.5000
# Density in Mg/m³: 13.45



Version iii
# Ta2FeAg, relaxed, DFT PBE-GGA
data_Ta2FeAg
_chemical_formula_sum 'Ta6 Fe3 Ag3'
_space_group_name_H-M_alt 'R 3 m'
_space_group_IT_number 160
_space_group_name_Hall 'R 3 -2"'
_cell_length_a 2.9535
_cell_length_b 2.9535
_cell_length_c 27.0472
_cell_angle_alpha 90.00
_cell_angle_beta 90.00
_cell_angle_gamma 120.00
loop_
_atom_site_label
_atom_site_type_symbol
_atom_site_fract_x
_atom_site_fract_y
_atom_site_fract_z
Ta1 Ta 0.0000 0.0000 0.0000
Ta2 Ta 0.0000 0.0000 0.2422
Fe1 Fe 0.0000 0.0000 0.5060
Ag1 Ag 0.0000 0.0000 0.7570
# Density in Mg/m³: 12.81



Which of them is the least stable? Correct choice: version iii.



Version i
# Ta2FeAg, relaxed, DFT PBE-GGA
data_Ta2FeAg
_chemical_formula_sum 'Ta2 Fe1 Ag1'
_space_group_name_H-M_alt 'P 4 m m'
_space_group_IT_number 99
_cell_length_a 3.0952
_cell_length_b 3.0952
_cell_length_c 6.8416
_cell_angle_alpha 90.00
_cell_angle_beta 90.00
_cell_angle_gamma 90.00
loop_
_space_group_symop_operation_xyz
'x,y,z'
'-y,x,z'
'-x,-y,z'
'y,-x,z'
'-x,y,z'
'y,x,z'
'x,-y,z'
'-y,-x,z'
loop_
_atom_site_label
_atom_site_type_symbol
_atom_site_fract_x
_atom_site_fract_y
_atom_site_fract_z
Ta1 Ta 0.0000 0.0000 0.0000
Ta2 Ta 0.5000 0.5000 0.2819
Fe1 Fe 0.5000 0.5000 0.8166
Ag1 Ag 0.0000 0.0000 0.5629
# Density in Mg/m³: 13.32



Version ii
# Ta2FeAg, relaxed, DFT PBE-GGA
data_Ta2FeAg
_chemical_formula_sum 'Ta4 Fe2 Ag2'
_space_group_name_H-M_alt 'C m m 2'
_space_group_IT_number 35
_cell_length_a 3.4041
_cell_length_b 4.4055
_cell_length_c 8.8449
_cell_angle_alpha 90.00
_cell_angle_beta 90.00
_cell_angle_gamma 90.00
loop_
_space_group_symop_operation_xyz
'x,y,z'
'-x,-y,z'
'-x,y,z'
'x,-y,z'
'x+1/2,y+1/2,z'
'-x+1/2,-y+1/2,z'
'-x+1/2,y+1/2,z'
'x+1/2,-y+1/2,z'
loop_
_atom_site_label
_atom_site_type_symbol
_atom_site_fract_x
_atom_site_fract_y
_atom_site_fract_z
Ta1 Ta 0.0000 0.0000 0.0000
Ta2 Ta 0.0000 0.5000 0.2638
Fe1 Fe 0.0000 0.5000 0.7734
Ag1 Ag 0.0000 0.0000 0.5333
# Density in Mg/m³: 13.16



Which of them is the least stable? Correct choice: version ii.



Version i
# Ta3FeAg, relaxed, DFT PBE-GGA
data_Ta3FeAg
_chemical_formula_sum 'Ta3 Fe1 Ag1'
_space_group_name_H-M_alt 'P m -3 m'
_space_group_IT_number 221
_space_group_name_Hall '-P 4 2 3'
_cell_length_a 4.8279
_cell_length_b 4.8279
_cell_length_c 4.8279
_cell_angle_alpha 90.00
_cell_angle_beta 90.00
_cell_angle_gamma 90.00
loop_
_atom_site_label
_atom_site_type_symbol
_atom_site_fract_x
_atom_site_fract_y
_atom_site_fract_z
Ta1 Ta 0.0000 0.0000 0.5000
Fe1 Fe 0.5000 0.5000 0.5000
Ag1 Ag 0.0000 0.0000 0.0000
# Density in Mg/m³: 10.43



Version ii
# Ta3FeAg, relaxed, DFT PBE-GGA
data_Ta3FeAg
_chemical_formula_sum 'Ta3 Fe1 Ag1'
_space_group_name_H-M_alt 'P m -3 m'
_space_group_IT_number 221
_space_group_name_Hall '-P 4 2 3'
_cell_length_a 4.5811
_cell_length_b 4.5811
_cell_length_c 4.5811
_cell_angle_alpha 90.00
_cell_angle_beta 90.00
_cell_angle_gamma 90.00
loop_
_atom_site_label
_atom_site_type_symbol
_atom_site_fract_x
_atom_site_fract_y
_atom_site_fract_z
Ta1 Ta 0.0000 0.0000 0.5000
Fe1 Fe 0.0000 0.0000 0.0000
Ag1 Ag 0.5000 0.5000 0.5000
# Density in Mg/m³: 12.20



Which of them is the least stable? Correct choice: version i.



Version i
# Fe2TcAg, relaxed, DFT PBE-GGA
data_Fe2TcAg
_chemical_formula_sum 'Fe6 Tc3 Ag3'
_space_group_name_H-M_alt 'R -3 m'
_space_group_IT_number 166
_space_group_name_Hall '-R 3 2"'
_cell_length_a 2.6923
_cell_length_b 2.6923
_cell_length_c 26.7088
_cell_angle_alpha 90.00
_cell_angle_beta 90.00
_cell_angle_gamma 120.00
loop_
_atom_site_label
_atom_site_type_symbol
_atom_site_fract_x
_atom_site_fract_y
_atom_site_fract_z
Fe1 Fe 0.0000 0.0000 0.2453
Tc1 Tc 0.0000 0.0000 0.5000
Ag1 Ag 0.0000 0.0000 0.0000
# Density in Mg/m³: 9.44



Version ii
# Fe2TcAg, relaxed, DFT PBE-GGA
data_Fe2TcAg
_chemical_formula_sum 'Fe4 Tc2 Ag2'
_space_group_name_H-M_alt 'I 4/m m m'
_space_group_IT_number 139
_space_group_name_Hall '-I 4 2'
_cell_length_a 3.9064
_cell_length_b 3.9064
_cell_length_c 7.2268
_cell_angle_alpha 90.00
_cell_angle_beta 90.00
_cell_angle_gamma 90.00
loop_
_atom_site_label
_atom_site_type_symbol
_atom_site_fract_x
_atom_site_fract_y
_atom_site_fract_z
Fe1 Fe 0.0000 0.5000 0.2500
Tc1 Tc 0.0000 0.0000 0.0000
Ag1 Ag 0.0000 0.0000 0.5000
# Density in Mg/m³: 9.56



Version iii
# Fe2TcAg, relaxed, DFT PBE-GGA
data_Fe2TcAg
_chemical_formula_sum 'Fe4 Tc2 Ag2'
_space_group_name_H-M_alt 'I m m 2'
_space_group_IT_number 44
_cell_length_a 2.8092
_cell_length_b 4.4244
_cell_length_c 8.9423
_cell_angle_alpha 90.00
_cell_angle_beta 90.00
_cell_angle_gamma 90.00
loop_
_space_group_symop_operation_xyz
'x,y,z'
'-x,-y,z'
'-x,y,z'
'x,-y,z'
'x+1/2,y+1/2,z+1/2'
'-x+1/2,-y+1/2,z+1/2'
'-x+1/2,y+1/2,z+1/2'
'x+1/2,-y+1/2,z+1/2'
loop_
_atom_site_label
_atom_site_type_symbol
_atom_site_fract_x
_atom_site_fract_y
_atom_site_fract_z
Fe1 Fe 0.0000 0.0000 0.0000
Fe2 Fe 0.0000 0.5000 0.2837
Tc1 Tc 0.0000 0.5000 0.7385
Ag1 Ag 0.0000 0.0000 0.5215
# Density in Mg/m³: 9.49



Which of them is the least stable? Correct choice: version ii.



Version i
# Fe2TcAg, relaxed, DFT PBE-GGA
data_Fe2TcAg
_chemical_formula_sum 'Fe4 Tc2 Ag2'
_space_group_name_H-M_alt 'C 1 2/m 1'
_space_group_IT_number 12
_cell_length_a 8.8369
_cell_length_b 2.5872
_cell_length_c 4.9729
_cell_angle_alpha 90.00
_cell_angle_beta 96.25
_cell_angle_gamma 90.00
loop_
_space_group_symop_operation_xyz
'x,y,z'
'-x,-y,-z'
'-x,y,-z'
'x,-y,z'
'x+1/2,y+1/2,z'
'-x+1/2,-y+1/2,-z'
'-x+1/2,y+1/2,-z'
'x+1/2,-y+1/2,z'
loop_
_atom_site_label
_atom_site_type_symbol
_atom_site_fract_x
_atom_site_fract_y
_atom_site_fract_z
Fe1 Fe 0.2499 0.0000 0.2371
Tc1 Tc 0.0000 0.5000 0.0000
Ag1 Ag 0.0000 0.0000 0.5000
# Density in Mg/m³: 9.33



Version ii
# Fe2TcAg, relaxed, DFT PBE-GGA
data_Fe2TcAg
_chemical_formula_sum 'Fe2 Tc1 Ag1'
_space_group_name_H-M_alt 'P 1 m 1'
_space_group_IT_number 6
_cell_length_a 2.6180
_cell_length_b 4.0636
_cell_length_c 5.3672
_cell_angle_alpha 90.00
_cell_angle_beta 100.36
_cell_angle_gamma 90.00
loop_
_space_group_symop_operation_xyz
'x,y,z'
'x,-y,z'
loop_
_atom_site_label
_atom_site_type_symbol
_atom_site_fract_x
_atom_site_fract_y
_atom_site_fract_z
Fe1 Fe 0.0000 0.0000 0.0000
Fe2 Fe 0.3939 0.5000 0.2353
Tc1 Tc 0.8614 0.0000 0.4425
Ag1 Ag 0.4614 0.5000 0.7423
# Density in Mg/m³: 9.39



Version iii
# Fe2TcAg, relaxed, DFT PBE-GGA
data_Fe2TcAg
_chemical_formula_sum 'Fe4 Tc2 Ag2'
_space_group_name_H-M_alt 'I -4 m 2'
_space_group_IT_number 119
_space_group_name_Hall 'I -4 -2'
_cell_length_a 3.7600
_cell_length_b 3.7600
_cell_length_c 7.7066
_cell_angle_alpha 90.00
_cell_angle_beta 90.00
_cell_angle_gamma 90.00
loop_
_atom_site_label
_atom_site_type_symbol
_atom_site_fract_x
_atom_site_fract_y
_atom_site_fract_z
Fe1 Fe 0.0000 0.0000 0.0000
Fe2 Fe 0.0000 0.5000 0.2500
Tc1 Tc 0.0000 0.5000 0.7500
Ag1 Ag 0.0000 0.0000 0.5000
# Density in Mg/m³: 9.68



Which of them is the least stable? Correct choice: version iii.



Version i
# Fe2TcAg, relaxed, DFT PBE-GGA
data_Fe2TcAg
_chemical_formula_sum 'Fe2 Tc1 Ag1'
_space_group_name_H-M_alt 'P 4 m m'
_space_group_IT_number 99
_cell_length_a 2.7318
_cell_length_b 2.7318
_cell_length_c 7.4943
_cell_angle_alpha 90.00
_cell_angle_beta 90.00
_cell_angle_gamma 90.00
loop_
_space_group_symop_operation_xyz
'x,y,z'
'-y,x,z'
'-x,-y,z'
'y,-x,z'
'-x,y,z'
'y,x,z'
'x,-y,z'
'-y,-x,z'
loop_
_atom_site_label
_atom_site_type_symbol
_atom_site_fract_x
_atom_site_fract_y
_atom_site_fract_z
Fe1 Fe 0.0000 0.0000 0.0000
Fe2 Fe 0.5000 0.5000 0.2082
Tc1 Tc 0.0000 0.0000 0.4248
Ag1 Ag 0.5000 0.5000 0.7248
# Density in Mg/m³: 9.43



Version ii
# Fe2TcAg, relaxed, DFT PBE-GGA
data_Fe2TcAg
_chemical_formula_sum 'Fe2 Tc1 Ag1'
_space_group_name_H-M_alt 'P m m m'
_space_group_IT_number 47
_cell_length_a 2.7118
_cell_length_b 3.6984
_cell_length_c 5.6019
_cell_angle_alpha 90.00
_cell_angle_beta 90.00
_cell_angle_gamma 90.00
loop_
_space_group_symop_operation_xyz
'x,y,z'
'-x,-y,-z'
'-x,-y,z'
'x,y,-z'
'x,-y,-z'
'-x,y,z'
'-x,y,-z'
'x,-y,z'
loop_
_atom_site_label
_atom_site_type_symbol
_atom_site_fract_x
_atom_site_fract_y
_atom_site_fract_z
Fe1 Fe 0.0000 0.0000 0.2140
Tc1 Tc 0.5000 0.5000 0.0000
Ag1 Ag 0.5000 0.5000 0.5000
# Density in Mg/m³: 9.39



Which of them is the least stable? Correct choice: version ii.